No. 1
# Tb7Tm16Th6 (GGA-PBE, relaxed)
# total magnetic moment: 0.00 μB/cell
data_Tb7Tm16Th6
_chemical_formula_sum 'Tb28 Tm64 Th24'
_symmetry_space_group_name_H-M 'F m -3 m'
_symmetry_Int_Tables_number 225
_symmetry_space_group_name_Hall '-F 4 2 3'
_cell_length_a 15.5389
_cell_length_b 15.5389
_cell_length_c 15.5389
_cell_angle_alpha 90.00
_cell_angle_beta 90.00
_cell_angle_gamma 90.00
loop_
_atom_site_label
_atom_site_fract_x
_atom_site_fract_y
_atom_site_fract_z
Tb1 0.0000 0.0000 0.0000
Tb2 0.0000 0.2500 0.2500
Tm1 0.1207 0.1207 0.1207
Tm2 0.1588 0.1588 0.3412
Th1 0.0000 0.0000 0.3305

=====

No. 2
# Tb2Tm2Th15 (GGA-PBE, relaxed)
# total magnetic moment: 0.00 μB/cell
data_Tb2Tm2Th15
_chemical_formula_sum 'Tb6 Tm6 Th45'
_symmetry_space_group_name_H-M 'R -3 m'
_symmetry_Int_Tables_number 166
_symmetry_space_group_name_Hall '-R 3 2"'
_cell_length_a 11.3804
_cell_length_b 11.3804
_cell_length_c 17.3185
_cell_angle_alpha 90.00
_cell_angle_beta 90.00
_cell_angle_gamma 120.00
loop_
_atom_site_label
_atom_site_fract_x
_atom_site_fract_y
_atom_site_fract_z
Tb1 0.0000 0.0000 0.1868
Tm1 0.0000 0.0000 0.4026
Th1 0.0000 0.2985 0.5000
Th2 0.0000 0.5000 0.0000
Th3 0.0092 0.5046 0.6461

=====

No. 3
# Tb7Tm3Th (GGA-PBE, relaxed)
# total magnetic moment: 0.00 μB/cell
data_Tb7Tm3Th
_chemical_formula_sum 'Tb28 Tm12 Th4'
_symmetry_space_group_name_H-M 'C 1 2/m 1'
_symmetry_Int_Tables_number 12
_symmetry_space_group_name_Hall '-C 2y'
_cell_length_a 6.9014
_cell_length_b 18.4508
_cell_length_c 11.1635
_cell_angle_alpha 90.00
_cell_angle_beta 90.77
_cell_angle_gamma 90.00
loop_
_atom_site_label
_atom_site_fract_x
_atom_site_fract_y
_atom_site_fract_z
Tb1 0.2484 0.0000 0.2498
Tb2 0.2484 0.3382 0.9705
Tb3 0.2485 0.4121 0.2502
Tb4 0.2490 0.1618 0.4703
Tm1 0.0000 0.0000 0.0000
Tm2 0.9997 0.2495 0.2499
Tm3 0.0000 0.5000 0.5000
Th1 0.0000 0.0000 0.5000
Th2 0.0000 0.5000 0.0000

=====

No. 4
# TbTm8Th6 (GGA-PBE, relaxed)
# total magnetic moment: 0.00 μB/cell
data_TbTm8Th6
_chemical_formula_sum 'Tb1 Tm8 Th6'
_symmetry_space_group_name_H-M 'P -3'
_symmetry_Int_Tables_number 147
_symmetry_space_group_name_Hall '-P 3'
_cell_length_a 9.5545
_cell_length_b 9.5545
_cell_length_c 6.2045
_cell_angle_alpha 90.00
_cell_angle_beta 90.00
_cell_angle_gamma 120.00
loop_
_atom_site_label
_atom_site_fract_x
_atom_site_fract_y
_atom_site_fract_z
Tb1 0.0000 0.0000 0.0000
Tm1 0.0188 0.6890 0.5806
Tm2 0.3333 0.6667 0.3942
Th1 0.1233 0.4345 0.9343

=====

No. 5
# Tb7Tm4Th (GGA-PBE, relaxed)
# total magnetic moment: 0.00 μB/cell
data_Tb7Tm4Th
_chemical_formula_sum 'Tb7 Tm4 Th1'
_symmetry_space_group_name_H-M 'P -3 m 1'
_symmetry_Int_Tables_number 164
_symmetry_space_group_name_Hall '-P 3 2"'
_cell_length_a 3.5395
_cell_length_b 3.5395
_cell_length_c 34.6124
_cell_angle_alpha 90.00
_cell_angle_beta 90.00
_cell_angle_gamma 120.00
loop_
_atom_site_label
_atom_site_fract_x
_atom_site_fract_y
_atom_site_fract_z
Tb1 0.0000 0.0000 0.0000
Tb2 0.0000 0.0000 0.2497
Tb3 0.3333 0.6667 0.1655
Tb4 0.3333 0.6667 0.4169
Tm1 0.3333 0.6667 0.6677
Tm2 0.3333 0.6667 0.9172
Th1 0.0000 0.0000 0.5000

=====

No. 6
# Tb3Tm8Th4 (GGA-PBE, relaxed)
# total magnetic moment: 0.00 μB/cell
data_Tb3Tm8Th4
_chemical_formula_sum 'Tb6 Tm16 Th8'
_symmetry_space_group_name_H-M 'C 1 2/m 1'
_symmetry_Int_Tables_number 12
_symmetry_space_group_name_Hall '-C 2y'
_cell_length_a 13.2828
_cell_length_b 12.8593
_cell_length_c 6.5702
_cell_angle_alpha 90.00
_cell_angle_beta 119.28
_cell_angle_gamma 90.00
loop_
_atom_site_label
_atom_site_fract_x
_atom_site_fract_y
_atom_site_fract_z
Tb1 0.0000 0.0000 0.0000
Tb2 0.2500 0.2500 0.0000
Tm1 0.0000 0.2496 0.0000
Tm2 0.0000 0.3635 0.5000
Tm3 0.2387 0.5000 0.5029
Tm4 0.2416 0.5000 0.9927
Th1 0.0000 0.0000 0.5000
Th2 0.0000 0.5000 0.0000
Th3 0.2500 0.2500 0.5000

=====

No. 7
# TbTm7Th3 (GGA-PBE, relaxed)
# total magnetic moment: 0.00 μB/cell
data_TbTm7Th3
_chemical_formula_sum 'Tb1 Tm7 Th3'
_symmetry_space_group_name_H-M 'P 1 2/m 1'
_symmetry_Int_Tables_number 10
_symmetry_space_group_name_Hall '-P 2y'
_cell_length_a 6.8672
_cell_length_b 5.4624
_cell_length_c 10.0184
_cell_angle_alpha 90.00
_cell_angle_beta 109.92
_cell_angle_gamma 90.00
loop_
_atom_site_label
_atom_site_fract_x
_atom_site_fract_y
_atom_site_fract_z
Tb1 0.0000 0.0000 0.0000
Tm1 0.0866 0.0000 0.6702
Tm2 0.1756 0.5000 0.8609
Tm3 0.3612 0.5000 0.2069
Tm4 0.5000 0.0000 0.5000
Th1 0.2218 0.5000 0.5002
Th2 0.5000 0.0000 0.0000

=====

No. 8
# Tb2YTm2Th (GGA-PBE, relaxed)
# total magnetic moment: 0.00 μB/cell
data_Tb2YTm2Th
_chemical_formula_sum 'Tb4 Y2 Tm4 Th2'
_symmetry_space_group_name_H-M 'P 1 21/m 1'
_symmetry_Int_Tables_number 11
_symmetry_space_group_name_Hall '-P 2yb'
_cell_length_a 6.4444
_cell_length_b 6.7559
_cell_length_c 8.8805
_cell_angle_alpha 90.00
_cell_angle_beta 95.54
_cell_angle_gamma 90.00
loop_
_atom_site_label
_atom_site_fract_x
_atom_site_fract_y
_atom_site_fract_z
Tb1 0.1791 0.0001 0.1607
Y1 0.3209 0.2500 0.8241
Tm1 0.0727 0.7500 0.4942
Tm2 0.4233 0.2500 0.4642
Th1 0.3128 0.7500 0.8459

=====

No. 9
# Tb3Y6TmTh2 (GGA-PBE, relaxed)
# total magnetic moment: 0.00 μB/cell
data_Tb3Y6TmTh2
_chemical_formula_sum 'Tb6 Y12 Tm2 Th4'
_symmetry_space_group_name_H-M 'C 1 2/m 1'
_symmetry_Int_Tables_number 12
_symmetry_space_group_name_Hall '-C 2y'
_cell_length_a 6.1785
_cell_length_b 10.6945
_cell_length_c 11.8014
_cell_angle_alpha 90.00
_cell_angle_beta 100.07
_cell_angle_gamma 90.00
loop_
_atom_site_label
_atom_site_fract_x
_atom_site_fract_y
_atom_site_fract_z
Tb1 0.0000 0.0000 0.0000
Tb2 0.0000 0.3336 0.0000
Y1 0.2463 0.0000 0.7474
Y2 0.2494 0.1681 0.2530
Tm1 0.0000 0.5000 0.5000
Th1 0.0000 0.1666 0.5000

=====

No. 10
# Tb6Y2Tm3Th (GGA-PBE, relaxed)
# total magnetic moment: 0.00 μB/cell
data_Tb6Y2Tm3Th
_chemical_formula_sum 'Tb12 Y4 Tm6 Th2'
_symmetry_space_group_name_H-M 'C 1 2/m 1'
_symmetry_Int_Tables_number 12
_symmetry_space_group_name_Hall '-C 2y'
_cell_length_a 6.1491
_cell_length_b 10.6417
_cell_length_c 11.7674
_cell_angle_alpha 90.00
_cell_angle_beta 100.01
_cell_angle_gamma 90.00
loop_
_atom_site_label
_atom_site_fract_x
_atom_site_fract_y
_atom_site_fract_z
Tb1 0.2449 0.0000 0.2483
Tb2 0.2496 0.1649 0.7518
Y1 0.0000 0.3333 0.5000
Tm1 0.0000 0.1673 0.0000
Tm2 0.0000 0.5000 0.0000
Th1 0.0000 0.0000 0.5000

=====

No. 11
# Tb2Y6TmTh3 (GGA-PBE, relaxed)
# total magnetic moment: 0.00 μB/cell
data_Tb2Y6TmTh3
_chemical_formula_sum 'Tb4 Y12 Tm2 Th6'
_symmetry_space_group_name_H-M 'C 1 2/m 1'
_symmetry_Int_Tables_number 12
_symmetry_space_group_name_Hall '-C 2y'
_cell_length_a 6.1940
_cell_length_b 10.7238
_cell_length_c 11.7566
_cell_angle_alpha 90.00
_cell_angle_beta 100.14
_cell_angle_gamma 90.00
loop_
_atom_site_label
_atom_site_fract_x
_atom_site_fract_y
_atom_site_fract_z
Tb1 0.0000 0.1665 0.0000
Y1 0.2493 0.1665 0.7467
Y2 0.2488 0.5000 0.7465
Tm1 0.0000 0.5000 0.0000
Th1 0.0000 0.0000 0.5000
Th2 0.0000 0.3330 0.5000

=====

No. 12
# Tb6Y3TmTh2 (GGA-PBE, relaxed)
# total magnetic moment: 0.00 μB/cell
data_Tb6Y3TmTh2
_chemical_formula_sum 'Tb12 Y6 Tm2 Th4'
_symmetry_space_group_name_H-M 'C 1 2/m 1'
_symmetry_Int_Tables_number 12
_symmetry_space_group_name_Hall '-C 2y'
_cell_length_a 6.1697
_cell_length_b 10.6788
_cell_length_c 11.8293
_cell_angle_alpha 90.00
_cell_angle_beta 100.02
_cell_angle_gamma 90.00
loop_
_atom_site_label
_atom_site_fract_x
_atom_site_fract_y
_atom_site_fract_z
Tb1 0.2463 0.0000 0.2471
Tb2 0.2496 0.1679 0.7533
Y1 0.0000 0.0000 0.5000
Y2 0.0000 0.3336 0.5000
Tm1 0.0000 0.5000 0.0000
Th1 0.0000 0.1665 0.0000

=====

No. 13
# TbY2Tm5Th (GGA-PBE, relaxed)
# total magnetic moment: 0.00 μB/cell
data_TbY2Tm5Th
_chemical_formula_sum 'Tb4 Y8 Tm20 Th4'
_symmetry_space_group_name_H-M 'C m c 21'
_symmetry_Int_Tables_number 36
_symmetry_space_group_name_Hall 'C 2c -2'
_cell_length_a 5.6504
_cell_length_b 21.2112
_cell_length_c 9.6962
_cell_angle_alpha 90.00
_cell_angle_beta 90.00
_cell_angle_gamma 90.00
loop_
_atom_site_label
_atom_site_fract_x
_atom_site_fract_y
_atom_site_fract_z
Tb1 0.0000 0.1927 0.0000
Y1 0.0000 0.1141 0.6905
Y2 0.0000 0.1296 0.3065
Tm1 0.0000 0.0152 0.9987
Tm2 0.0000 0.2705 0.6907
Tm3 0.0000 0.3054 0.3015
Tm4 0.0000 0.3984 0.9793
Tm5 0.0000 0.4699 0.2786
Th1 0.0000 0.4060 0.5942

=====

No. 14
# Tb3Y2Tm6Th (GGA-PBE, relaxed)
# total magnetic moment: 0.00 μB/cell
data_Tb3Y2Tm6Th
_chemical_formula_sum 'Tb6 Y4 Tm12 Th2'
_symmetry_space_group_name_H-M 'C 1 2/m 1'
_symmetry_Int_Tables_number 12
_symmetry_space_group_name_Hall '-C 2y'
_cell_length_a 6.1205
_cell_length_b 10.5984
_cell_length_c 11.6710
_cell_angle_alpha 90.00
_cell_angle_beta 100.08
_cell_angle_gamma 90.00
loop_
_atom_site_label
_atom_site_fract_x
_atom_site_fract_y
_atom_site_fract_z
Tb1 0.0000 0.0000 0.0000
Tb2 0.0000 0.3326 0.0000
Y1 0.0000 0.1668 0.5000
Tm1 0.2453 0.5000 0.2501
Tm2 0.2487 0.3353 0.7500
Th1 0.0000 0.5000 0.5000

=====

No. 15
# TbYTm3Th (GGA-PBE, relaxed)
# total magnetic moment: 0.00 μB/cell
data_TbYTm3Th
_chemical_formula_sum 'Tb4 Y4 Tm12 Th4'
_symmetry_space_group_name_H-M 'C m c m'
_symmetry_Int_Tables_number 63
_symmetry_space_group_name_Hall '-C 2c 2'
_cell_length_a 5.7830
_cell_length_b 11.2097
_cell_length_c 11.5848
_cell_angle_alpha 90.00
_cell_angle_beta 90.00
_cell_angle_gamma 90.00
loop_
_atom_site_label
_atom_site_fract_x
_atom_site_fract_y
_atom_site_fract_z
Tb1 0.0000 0.0000 0.0000
Y1 0.0000 0.1784 0.2500
Tm1 0.0000 0.1731 0.7500
Tm2 0.0000 0.3317 0.5022
Th1 0.0000 0.4997 0.2500

=====

No. 16
# TbY6Tm2Th3 (GGA-PBE, relaxed)
# total magnetic moment: 0.00 μB/cell
data_TbY6Tm2Th3
_chemical_formula_sum 'Tb2 Y12 Tm4 Th6'
_symmetry_space_group_name_H-M 'C 1 2/m 1'
_symmetry_Int_Tables_number 12
_symmetry_space_group_name_Hall '-C 2y'
_cell_length_a 6.1864
_cell_length_b 10.7104
_cell_length_c 11.7435
_cell_angle_alpha 90.00
_cell_angle_beta 100.13
_cell_angle_gamma 90.00
loop_
_atom_site_label
_atom_site_fract_x
_atom_site_fract_y
_atom_site_fract_z
Tb1 0.0000 0.0000 0.0000
Y1 0.2490 0.3332 0.7472
Y2 0.2496 0.0000 0.7473
Tm1 0.0000 0.3332 0.0000
Th1 0.0000 0.1665 0.5000
Th2 0.0000 0.5000 0.5000

=====

No. 17
# Tb5YTmTh2 (GGA-PBE, relaxed)
# total magnetic moment: 0.00 μB/cell
data_Tb5YTmTh2
_chemical_formula_sum 'Tb20 Y4 Tm4 Th8'
_symmetry_space_group_name_H-M 'I 4/m c m'
_symmetry_Int_Tables_number 140
_symmetry_space_group_name_Hall '-I 4 2c'
_cell_length_a 8.7336
_cell_length_b 8.7336
_cell_length_c 15.6158
_cell_angle_alpha 90.00
_cell_angle_beta 90.00
_cell_angle_gamma 90.00
loop_
_atom_site_label
_atom_site_fract_x
_atom_site_fract_y
_atom_site_fract_z
Tb1 0.0000 0.0000 0.0000
Tb2 0.2109 0.2891 0.1399
Y1 0.0000 0.0000 0.2500
Tm1 0.0000 0.5000 0.2500
Th1 0.1201 0.3799 0.5000

=====

No. 18
# Tb6YTmTh2 (GGA-PBE, relaxed)
# total magnetic moment: 0.00 μB/cell
data_Tb6YTmTh2
_chemical_formula_sum 'Tb24 Y4 Tm4 Th8'
_symmetry_space_group_name_H-M 'C 1 2/c 1'
_symmetry_Int_Tables_number 15
_symmetry_space_group_name_Hall '-C 2yc'
_cell_length_a 8.9340
_cell_length_b 14.7853
_cell_length_c 10.0452
_cell_angle_alpha 90.00
_cell_angle_beta 101.86
_cell_angle_gamma 90.00
loop_
_atom_site_label
_atom_site_fract_x
_atom_site_fract_y
_atom_site_fract_z
Tb1 0.0733 0.1872 0.4484
Tb2 0.0940 0.3997 0.6172
Tb3 0.2031 0.2242 0.8205
Y1 0.0000 0.0113 0.7500
Tm1 0.0000 0.4039 0.2500
Th1 0.2315 0.0474 0.0431

=====

| no. | volume (Å³/cell) | E_form (eV per atom) |
| --- | --- | --- |
| 1 | 3752 | 0.32 |
| 2 | 1942 | 0.29 |
| 3 | 1421 | 0.15 |
| 4 | 491 | 0.27 |
| 5 | 376 | 0.02 |
| 6 | 979 | 0.44 |
| 7 | 353 | 0.16 |
| 8 | 385 | 0.18 |
| 9 | 768 | 0.02 |
| 10 | 758 | 0.03 |
| 11 | 769 | 0.03 |
| 12 | 767 | 0.02 |
| 13 | 1162 | 0.17 |
| 14 | 745 | 0.03 |
| 15 | 751 | 0.13 |
| 16 | 766 | 0.03 |
| 17 | 1191 | 0.34 |
| 18 | 1299 | 0.15 |